1.
Density functional theory data (PBE) for BeCrRe2 after structural relaxation.

Formation energy from the elements   143 meV/atom
Electronic total energy   -0.6922 Ry per atom
Crystal system   monoclinic

Lattice parameters (Å, degrees): 5.2621 8.0827 2.6195 90.00 110.96 90.00
Last column: nearest neighbours and their distance in Å.
Space group C2/m (No. 12)
Asymmetric unit:
Be: 0.0000 0.0000 0.0000 (multiplicity 2)  4 Re 2.51, 2 Be 2.62, 2 Cr 2.63
Cr: 0.0000 0.5000 0.0000 (multiplicity 2)  4 Re 2.51, 2 Cr 2.62, 2 Be 2.63
Re: 0.2500 0.2500 0.5000 (multiplicity 4)  2 Cr 2.51, 2 Be 2.51, 4 Re 2.62-2.63

2.
Density functional theory data (PBE) for Be2CrRe after structural relaxation.

Formation energy from the elements   73 meV/atom
Offset from the most stable computed form   125 meV/atom
Electronic total energy   -0.5371 Ry per atom
Crystal system   monoclinic

Lattice parameters (Å, degrees): 4.9418 7.4442 2.5003 90.00 103.56 90.00
Last column: nearest neighbours and their distance in Å.
Space group C2/m (No. 12)
Asymmetric unit:
Be: 0.2500 0.2500 0.0000 (multiplicity 4)  4 Cr 2.41-2.70, 4 Re 2.41-2.70, 4 Be 2.47-2.50
Cr: 0.0000 0.0000 0.5000 (multiplicity 2)  8 Be 2.41-2.70, 2 Re 2.47, 2 Cr 2.50
Re: 0.0000 0.5000 0.5000 (multiplicity 2)  8 Be 2.41-2.70, 2 Cr 2.47, 2 Re 2.50